Entry 1:
Below is Ba2Hg2Te after structural relaxation, with properties calculated at the PBE level.

```
Ba2Hg2Te
1.0
8.955 0.000 0.000
0.000 8.955 0.000
0.000 0.000 4.626
Ba Hg Te
4 4 2
Cartesian
1.637 2.840 0.000
2.840 7.318 0.000
6.115 1.637 0.000
7.318 6.115 0.000
1.062 5.540 2.313
3.415 1.062 2.313
5.540 7.893 2.313
7.893 3.415 2.313
0.000 0.000 2.313
4.478 4.478 2.313
```

Calculated total energy (eV for the cell shown): -22.715
Uncorrected formation energy (meV per atom): -753
Volume (A^3/atom): 37.10
Density (Mg/m³): 7.2

Entry 2:
Below is Ce2ReCl after structural relaxation, with properties calculated at the PBE level.

```
Ce2ReCl
1.0
3.330 0.000 0.000
0.000 3.330 0.000
0.000 0.000 8.090
Ce Re Cl
2 1 1
Cartesian
0.000 0.000 1.792
0.000 0.000 6.298
1.665 1.665 0.000
1.665 1.665 4.045
```

Calculated total energy (eV for the cell shown): -28.741
Uncorrected formation energy (meV per atom): -645
Volume (A^3/atom): 22.42
Density (Mg/m³): 9.3

Entry 3:
Below is NdSm4Cd after structural relaxation, with properties calculated at the PBE level.

```
NdSm4Cd
1.0
4.455 -7.201 0.000
4.455 7.201 0.000
-2.107 0.000 6.062
Nd Sm Cd
2 8 2
Cartesian
2.875 5.934 4.546
3.928 -5.934 1.515
0.086 1.742 5.312
2.628 2.736 2.758
1.139 -1.742 2.281
5.229 2.736 0.273
1.575 -2.736 5.789
5.664 1.742 3.781
4.175 -2.736 3.303
6.718 -1.742 0.750
2.875 0.011 4.546
3.928 -0.011 1.515
```

Calculated total energy (eV for the cell shown): -49.156
E_form (eV per atom): -0.003
Volume (A^3/atom): 32.41
Density (Mg/m³): 7.3

Entry 4:
Below is Sr3In3Ag after structural relaxation, with properties calculated at the PBE level.

```
Sr3In3Ag
1.0
6.179 -2.272 0.000
6.179 2.272 0.000
-4.933 0.000 16.405
Sr In Ag
6 6 2
Cartesian
-1.763 0.000 6.301
-3.129 0.000 15.157
1.762 0.000 3.803
5.662 0.000 12.602
10.554 0.000 1.248
9.188 0.000 10.103
1.793 0.000 7.582
0.349 0.000 15.146
2.156 0.000 12.631
5.269 0.000 3.774
7.076 0.000 1.259
5.631 0.000 8.823
0.452 0.000 10.251
6.972 0.000 6.153
```

Calculated total energy (eV for the cell shown): -37.617
E_form (eV per atom): -0.385
Volume (A^3/atom): 32.90
Density (Mg/m³): 5.2

Entry 5:
Below is Ba2Sr3Ca2 after structural relaxation, with properties calculated at the PBE level.

```
Ba2Sr3Ca2
1.0
4.326 0.000 0.000
-2.153 8.790 0.000
-0.002 -3.366 9.844
Ba Sr Ca
2 3 2
Cartesian
0.002 0.835 4.302
2.170 4.589 5.542
0.000 0.000 0.000
0.004 2.116 8.423
2.167 3.308 1.421
0.009 6.559 2.626
2.163 -1.135 7.219
```

Calculated total energy (eV for the cell shown): -12.758
E_form (eV per atom): 0.019
Volume (A^3/atom): 53.48
Density (Mg/m³): 2.7

Entry 6:
Below is Zr2TaTe after structural relaxation, with properties calculated at the PBE level.

```
Zr2TaTe
1.0
3.789 0.000 0.000
0.000 5.267 0.000
0.000 0.000 8.844
Zr Ta Te
4 2 2
Cartesian
0.000 0.000 2.175
0.000 0.000 6.669
1.895 2.634 2.175
1.895 2.634 6.669
0.000 2.634 0.000
1.895 0.000 0.000
0.000 2.634 4.422
1.895 0.000 4.422
```

Calculated total energy (eV for the cell shown): -65.180
Uncorrected formation energy (meV per atom): -125
Volume (A^3/atom): 22.06
Density (Mg/m³): 9.2

Entry 7:
Below is Ho3Tm3Au4 after structural relaxation, with properties calculated at the PBE level.

```
Ho3Tm3Au4
1.0
3.754 0.000 0.000
0.000 5.769 5.707
0.000 -5.769 5.707
Ho Tm Au
3 3 4
Cartesian
0.000 0.000 0.000
0.000 -1.872 3.877
0.000 1.872 3.877
0.000 0.000 7.715
1.877 -2.884 6.725
1.877 2.884 6.725
1.877 0.000 2.329
1.877 0.000 5.422
1.877 -1.549 9.554
1.877 1.549 9.554
```

Calculated total energy (eV for the cell shown): -47.416
E_form (eV per atom): -0.716
Volume (A^3/atom): 24.72
Density (Mg/m³): 12.0

Entry 8:
Below is Rb3NiGe after structural relaxation, with properties calculated at the PBE level.

```
Rb3NiGe
1.0
6.293 0.000 0.000
0.000 6.293 0.000
0.000 0.000 6.293
Rb Ni Ge
3 1 1
Cartesian
0.000 0.000 3.147
0.000 3.147 0.000
3.147 0.000 0.000
0.000 0.000 0.000
3.147 3.147 3.147
```

Calculated total energy (eV for the cell shown): -9.756
E_form (eV per atom): 0.709
Volume (A^3/atom): 49.85
Density (Mg/m³): 2.6

Entry 9:
Below is V3CoAg after structural relaxation, with properties calculated at the PBE level.

```
V3CoAg
1.0
4.330 0.000 0.000
0.000 4.330 0.000
0.000 0.000 4.330
V Co Ag
3 1 1
Cartesian
0.000 0.000 2.165
0.000 2.165 0.000
2.165 0.000 0.000
0.000 0.000 0.000
2.165 2.165 2.165
```

Calculated total energy (eV for the cell shown): -33.434
E_form (eV per atom): 0.776
Volume (A^3/atom): 16.24
Density (Mg/m³): 6.5

Entry 10:
Below is Ce2AlAg3 after structural relaxation, with properties calculated at the PBE level.

```
Ce2AlAg3
1.0
3.251 0.000 0.000
0.000 4.853 0.000
0.000 0.000 8.456
Ce Al Ag
2 1 3
Cartesian
0.000 0.000 0.000
0.000 2.426 4.217
1.626 2.426 7.024
1.626 0.000 2.833
1.626 0.000 5.692
1.626 2.426 1.333
```

Calculated total energy (eV for the cell shown): -25.546
E_form (eV per atom): -0.230
Volume (A^3/atom): 22.24
Density (Mg/m³): 7.9

Which of these has the highest density?
Ho3Tm3Au4

Which of these has the highest density?
Ho3Tm3Au4

Number 5 is which compound?
Ba2Sr3Ca2

Which formula does entry 10 have?
Ce2AlAg3